DFT (GGA-PBE) results for V2PtRh after structural relaxation.

Properties
Symmetry   P4/mmm (123)
Calculated total energy   -33.5 eV for the cell shown

Cell: 2.724 2.724 7.558 Å, 90.00 90.00 90.00°
Fractional coordinates of all 4 atoms:
V: 0.000 0.000 0.242
V: 0.000 0.000 0.758
Pt: 0.500 0.500 0.500
Rh: 0.500 0.500 0.000